DFT (PBE) results for a geometry-optimized ZrMn2Fe structure.

As for the energy above the lowest structure with this stoichiometry: 0.100 eV/atom. The calculation puts the density of states at the Fermi level at 4.4 states/eV/cell. The value obtained for the formation energy from the elements is 154 meV/atom.

The structure belongs to space group P4/mmm (No. 123); the cell edges are 2.9690, 2.9690 and 6.4915 Å and the angles 90.00°, 90.00° and 90.00°. Symmetry generates all atoms from Zr at (0.0000, 0.0000, 0.0000), Mn at (0.5000, 0.5000, 0.2985) and Fe at (0.0000, 0.0000, 0.5000).